The following is a DFT calculation (PBE) of Nd2H4Pd after structural relaxation.

Cell: 3.625 3.625 7.285 Å, 75.60 75.60 90.00°
Fractional coordinates of all 7 atoms:
1 H 0.174 0.174 0.652
2 H 0.826 0.826 0.348
3 H 0.000 0.500 0.000
4 H 0.500 0.000 0.000
5 Nd 0.349 0.349 0.302
6 Nd 0.651 0.651 0.698
7 Pd 0.000 0.000 0.000

Values from the calculation:
DOS at the Fermi energy = 0.2894 states/eV per atom
total energy = -4.477 eV per atom
space-group type = I4/mmm (139)